[1]
Material: RbTlAsP
Method: DFT, PBE-GGA
State: optimized geometry

a = 4.2175 Å, b = 5.5612 Å, c = 11.9110 Å
α = 90.00°, β = 110.58°, γ = 90.00°
With the nearest neighbours (Å) after each atom.
Positions (direct):
Rb 0.8212 0.0000 0.3139  4 P 3.53-3.54, 4 Tl 3.73-3.75, 5 As 3.86-3.92
Rb 0.8212 0.5000 0.8139  4 P 3.53-3.54, 4 Tl 3.73-3.75, 5 As 3.86-3.92
Tl 0.5994 0.0000 0.5912  2 P 2.85-2.86, 2 As 3.13
Tl 0.5994 0.5000 0.0912  2 P 2.85-2.86, 2 As 3.13
As 0.4677 0.0000 0.9621  1 P 2.21
As 0.4677 0.5000 0.4621  1 P 2.21
P 0.2711 0.0000 0.7639  1 As 2.21
P 0.2711 0.5000 0.2639  1 As 2.21

Properties
The value obtained for the volume is 262 Å³ per cell. Its density of states at the Fermi level is 0.534 states/eV/atom. The value obtained for the energy above the most stable polymorph in this dataset is 126 meV/atom. The calculation puts the formation energy at -0.07 eV per atom.

---

[2]
Material: CsHgTe3As
Method: DFT, PBE-GGA
State: optimized geometry

a = 4.4679 Å, b = 9.5482 Å, c = 11.3753 Å
α = 111.33°, β = 90.00°, γ = 90.00°
With the nearest neighbours (Å) after each atom.
Positions (direct):
Cs 0.2500 0.2354 0.2772  7 Te 3.93-4.13, 2 Hg 4.19
Cs 0.7500 0.7646 0.7228  7 Te 3.93-4.13, 2 Hg 4.19
Hg 0.2500 0.0803 0.6291  4 Te 2.85-2.99
Hg 0.7500 0.9197 0.3709  4 Te 2.85-2.99
Te 0.7500 0.8728 0.1088  1 Hg 2.85, 2 As 2.96
Te 0.2500 0.1272 0.8912  1 Hg 2.85, 2 As 2.96
Te 0.2500 0.7675 0.4372  3 Hg 2.91-2.99
Te 0.7500 0.2325 0.5628  3 Hg 2.91-2.99
Te 0.7500 0.4737 0.1358  1 As 2.66
Te 0.2500 0.5263 0.8642  1 As 2.66
As 0.2500 0.6714 0.1133  3 Te 2.66-2.96
As 0.7500 0.3286 0.8867  3 Te 2.66-2.96

Properties
The value obtained for the volume is 452 Å³ per cell. For the formation energy without anion corrections, the calculation gives -0.36 eV per atom.

---

[3]
Material: SrZr2Te
Method: DFT, PBE-GGA
State: optimized geometry

a = 5.8803 Å, b = 5.8803 Å, c = 5.8803 Å
α = 133.73°, β = 133.73°, γ = 67.51°
With the nearest neighbours (Å) after each atom.
Positions (direct):
Sr 0.5000 0.5000 0.0000  8 Zr 3.27-3.36, 4 Te 3.36
Te 0.7500 0.2500 0.5000  8 Zr 3.27-3.36, 4 Sr 3.36
Zr 0.0000 0.0000 0.0000  4 Sr 3.27, 4 Te 3.36, 4 Zr 3.36
Zr 0.2500 0.7500 0.5000  4 Te 3.27, 4 Zr 3.36, 4 Sr 3.36

Properties
The value obtained for the volume is 104 Å³ per cell. Its density of states at the Fermi level is 1.685 states/eV/atom. For the formation energy without anion corrections, the calculation gives 0.09 eV per atom.

---

[4]
Material: Y2HoPd8
Method: DFT, PBE-GGA
State: optimized geometry

a = 4.2246 Å, b = 6.7663 Å, c = 7.7080 Å
α = 107.83°, β = 105.90°, γ = 90.00°
With the nearest neighbours (Å) after each atom.
Positions (direct):
Y 0.7823 0.3341 0.5645  9 Pd 2.82-3.14
Y 0.2177 0.6659 0.4355  9 Pd 2.82-3.14
Ho 0.5000 0.0000 0.0000  12 Pd 2.88-3.01
Pd 0.4097 0.5509 0.8194  8 Pd 2.82-3.06, 2 Y 2.90, 1 Ho 2.90
Pd 0.6761 0.9059 0.3521  3 Y 2.82-2.85, 1 Ho 2.88, 8 Pd 2.94-3.02
Pd 0.8596 0.8229 0.7191  7 Pd 2.93-3.05, 3 Y 2.93-3.14, 2 Ho 2.94
Pd 0.9634 0.2818 0.9268  9 Pd 2.80-3.06, 1 Y 2.82, 2 Ho 3.01
Pd 0.1404 0.1771 0.2809  7 Pd 2.93-3.05, 3 Y 2.93-3.14, 2 Ho 2.94
Pd 0.3239 0.0941 0.6479  3 Y 2.82-2.85, 1 Ho 2.88, 8 Pd 2.94-3.02
Pd 0.5903 0.4491 0.1806  8 Pd 2.82-3.06, 2 Y 2.90, 1 Ho 2.90
Pd 0.0366 0.7182 0.0732  9 Pd 2.80-3.06, 1 Y 2.82, 2 Ho 3.01

Properties
The value obtained for the volume is 201 Å³ per cell. Its density of states at the Fermi level is 0.441 states/eV/atom. The calculation puts the formation energy at -0.75 eV per atom.

---

[5]
Material: Cu3HgO
Method: DFT, PBE-GGA
State: optimized geometry

a = 4.8055 Å, b = 4.8055 Å, c = 4.8055 Å
α = 90.00°, β = 90.00°, γ = 90.00°
With the nearest neighbours (Å) after each atom.
Positions (direct):
O 0.5000 0.5000 0.5000  12 Cu 3.40
Hg 0.0000 0.0000 0.0000  6 Cu 2.40
Cu 0.0000 0.5000 0.0000  2 Hg 2.40
Cu 0.0000 0.0000 0.5000  2 Hg 2.40
Cu 0.5000 0.0000 0.0000  2 Hg 2.40

Properties
The value obtained for the volume is 111 Å³ per cell. Its density of states at the Fermi level is 0.979 states/eV/atom. The value obtained for the energy above the most stable polymorph in this dataset is 1392 meV/atom. For the formation energy without anion corrections, the calculation gives 1.37 eV per atom.

---

[6]
Material: Rb3Mn2TlCl9
Method: DFT, PBE-GGA
State: optimized geometry

a = 7.2225 Å, b = 7.2225 Å, c = 10.0267 Å
α = 90.00°, β = 90.00°, γ = 120.00°
With the nearest neighbours (Å) after each atom.
Positions (direct):
Rb 0.3333 0.6667 0.7257  9 Cl 3.45-3.61
Rb 0.0000 0.0000 0.0000  12 Cl 3.57-3.61
Rb 0.6667 0.3333 0.2743  9 Cl 3.45-3.61
Mn 0.3333 0.6667 0.1529  6 Cl 2.38-2.59
Mn 0.6667 0.3333 0.8471  6 Cl 2.38-2.59
Tl 0.0000 0.0000 0.5000  6 Cl 3.09
Cl 0.8261 0.1739 0.7182  1 Mn 2.38
Cl 0.8261 0.6522 0.7182  1 Mn 2.38
Cl 0.3478 0.1739 0.7182  1 Mn 2.38
Cl 0.6522 0.8261 0.2818  1 Mn 2.38
Cl 0.1739 0.3478 0.2818  1 Mn 2.38
Cl 0.1739 0.8261 0.2818  1 Mn 2.38
Cl 0.5000 0.0000 0.0000  2 Mn 2.59
Cl 0.0000 0.5000 0.0000  2 Mn 2.59
Cl 0.5000 0.5000 0.0000  2 Mn 2.59

Properties
The value obtained for the volume is 453 Å³ per cell. Its density of states at the Fermi level is 0.216 states/eV/atom. For the formation energy without anion corrections, the calculation gives -1.41 eV per atom.

---

Please write out number 2 again, unchanged.
Material: CsHgTe3As
Method: DFT, PBE-GGA
State: optimized geometry

a = 4.4679 Å, b = 9.5482 Å, c = 11.3753 Å
α = 111.33°, β = 90.00°, γ = 90.00°
With the nearest neighbours (Å) after each atom.
Positions (direct):
Cs 0.2500 0.2354 0.2772  7 Te 3.93-4.13, 2 Hg 4.19
Cs 0.7500 0.7646 0.7228  7 Te 3.93-4.13, 2 Hg 4.19
Hg 0.2500 0.0803 0.6291  4 Te 2.85-2.99
Hg 0.7500 0.9197 0.3709  4 Te 2.85-2.99
Te 0.7500 0.8728 0.1088  1 Hg 2.85, 2 As 2.96
Te 0.2500 0.1272 0.8912  1 Hg 2.85, 2 As 2.96
Te 0.2500 0.7675 0.4372  3 Hg 2.91-2.99
Te 0.7500 0.2325 0.5628  3 Hg 2.91-2.99
Te 0.7500 0.4737 0.1358  1 As 2.66
Te 0.2500 0.5263 0.8642  1 As 2.66
As 0.2500 0.6714 0.1133  3 Te 2.66-2.96
As 0.7500 0.3286 0.8867  3 Te 2.66-2.96

Properties
The value obtained for the volume is 452 Å³ per cell. For the formation energy without anion corrections, the calculation gives -0.36 eV per atom.